No. 1
Computed, not measured: a geometry-optimized YP2Ir2 structure at the GGA-PBEsol level of DFT.

a b c (Å): 4.0749 4.0749 9.4991
angles (deg): 90.00 90.00 90.00
With the nearest neighbours (Å) after each atom.
Sites, in units of the cell vectors:
Y  0.2500  0.2500  0.2435  8 P 3.08-3.09, 9 Ir 3.12-3.42
Y  0.7500  0.7500  0.7565  8 P 3.08-3.09, 9 Ir 3.12-3.42
P  0.2500  0.2500  0.6404  5 Ir 2.31-2.44
P  0.2500  0.7500  0.0000  4 Ir 2.32
P  0.7500  0.2500  0.0000  4 Ir 2.32
P  0.7500  0.7500  0.3596  5 Ir 2.31-2.44
Ir  0.2500  0.2500  0.8836  5 P 2.31-2.32
Ir  0.2500  0.7500  0.5000  4 P 2.44
Ir  0.7500  0.2500  0.5000  4 P 2.44
Ir  0.7500  0.7500  0.1164  5 P 2.31-2.32

The calculation puts the magnetization at 0.0 μB per cell.

No. 2
Computed, not measured: a geometry-optimized Y2PIr structure at the GGA-PBEsol level of DFT.

a b c (Å): 4.0659 5.5363 5.5363
angles (deg): 40.74 90.00 90.00
With the nearest neighbours (Å) after each atom.
Sites, in units of the cell vectors:
Y  0.0000  0.0000  0.0000  4 Ir 2.87, 3 P 2.95
Y  0.5000  0.2799  0.2799  4 P 2.88, 3 Ir 2.92-2.98
P  0.0000  0.7156  0.7156  2 Ir 2.59, 4 Y 2.88
Ir  0.5000  0.5614  0.5614  2 P 2.59, 4 Y 2.87

The calculation puts the magnetization at 0.0 μB per cell.

No. 3
Computed, not measured: a geometry-optimized YP2Ir structure at the GGA-PBEsol level of DFT.

a b c (Å): 4.2011 3.8990 4.4448
angles (deg): 90.00 95.53 90.00
With the nearest neighbours (Å) after each atom.
Sites, in units of the cell vectors:
Y  0.0000  0.0000  0.0000  4 P 2.79, 2 Ir 2.91
P  0.3780  0.5000  0.7615  1 P 2.26, 2 Ir 2.35
P  0.6220  0.5000  0.2385  1 P 2.26, 2 Ir 2.35
Ir  0.5000  0.0000  0.5000  4 P 2.35

As for the energy above the most stable polymorph in this dataset: 1.94 kcal/mol of atoms. The calculation puts the magnetization at 0.0 μB per cell.

| no. | theoretical density (Mg/m³) | formation energy (eV/atom) | uncorrected energy (eV per cell) |
| --- | --- | --- | --- |
| 1 | 11.27 | -1.05 | -86.592 |
| 2 | 8.19 | -1.16 | -33.888 |
| 3 | 7.86 | -0.98 | -32.157 |